(1)
## SrNbH (GGA-PBE)

Data for a relaxed SrNbH crystal.

Structure (extended XYZ):
```
6
Lattice="3.6809 0.0000 0.0000 0.0000 3.7067 0.0000 -0.0006 0.0000 9.7265" Properties=species:S:1:pos:R:3 pbc="T T T"
Sr 0.0000 0.0000 0.0000
Sr 1.8243 1.8533 3.7400
Nb 0.0548 0.0000 6.2587
Nb 1.9142 1.8533 7.2538
H 0.0188 0.0000 4.2797
H 3.2396 1.8533 5.8085
```

Summary:
Energy relative to the lowest polymorph listed for this composition (eV/f.u.): 0.36
DOS(E_F) (states/eV/atom): 0.53
Uncorrected energy (eV/atom): -4.98

=====

(2)
## SrNbH (GGA-PBE)

Data for a relaxed SrNbH crystal.

Structure (extended XYZ):
```
6
Lattice="11.3709 0.0000 0.0000 0.0000 1.7800 2.7880 0.0000 -1.7800 2.7880" Properties=species:S:1:pos:R:3 pbc="T T T"
Sr 1.8235 0.0000 0.0000
Sr 9.5474 0.0000 0.0000
Nb 4.4706 0.0000 2.8221
Nb 6.9003 0.0000 2.8221
H 0.0000 0.0000 3.5949
H 5.6854 0.0000 4.6709
```

Summary:
Energy relative to the lowest polymorph listed for this composition (eV/f.u.): 1.52
DOS(E_F) (states/eV/atom): 0.51
Uncorrected energy (eV/atom): -4.60

=====

(3)
## SrNbH (GGA-PBE)

Data for a relaxed SrNbH crystal.

Structure (extended XYZ):
```
3
Lattice="5.2583 0.0000 0.0000 -2.6292 4.5539 0.0000 0.0000 0.0000 2.7677" Properties=species:S:1:pos:R:3 pbc="T T T"
Sr 0.0000 0.0000 0.0000
Nb 0.0000 3.0359 0.0000
H 2.6292 1.5180 1.3839
```

Summary:
Energy relative to the lowest polymorph listed for this composition (eV/f.u.): 5.39
DOS(E_F) (states/eV/atom): 1.07
Uncorrected energy (eV/atom): -3.31

=====

(4)
## SrNbH (GGA-PBE)

Data for a relaxed SrNbH crystal.

Structure (extended XYZ):
```
6
Lattice="-1.8588 2.9560 5.2971 1.8588 -2.9560 5.2971 1.8588 2.9560 -5.2971" Properties=species:S:1:pos:R:3 pbc="T T T"
Sr 0.0000 1.4780 1.0738
Sr 1.8588 1.4780 4.2233
Nb 1.8588 1.4780 -1.7659
Nb 0.0000 1.4780 7.0629
H 1.8588 0.0000 0.0000
H 0.0000 0.0000 5.2971
```

Summary:
Energy relative to the lowest polymorph listed for this composition (eV/f.u.): 0.78
DOS(E_F) (states/eV/atom): 0.67
Uncorrected energy (eV/atom): -4.84

=====

(5)
## SrNbH (GGA-PBE)

Data for a relaxed SrNbH crystal.

Structure (extended XYZ):
```
6
Lattice="3.3114 0.0000 0.0000 -0.1910 6.1532 0.0000 -0.7562 -1.9905 6.0130" Properties=species:S:1:pos:R:3 pbc="T T T"
Sr 0.0000 0.0000 0.0000
Sr -0.1650 3.0373 2.1194
Nb 0.6377 1.0751 4.9632
Nb 1.8514 -0.0885 3.3387
H 1.5024 1.8966 0.5183
H 1.5135 4.3341 0.6224
```

Summary:
Energy relative to the lowest polymorph listed for this composition (eV/f.u.): 0.84
DOS(E_F) (states/eV/atom): 0.65
Uncorrected energy (eV/atom): -4.82

=====

(6)
## SrNbH (GGA-PBE)

Data for a relaxed SrNbH crystal.

Structure (extended XYZ):
```
6
Lattice="5.3215 0.0000 0.0000 -2.6608 4.6086 0.0000 0.0000 0.0000 6.9085" Properties=species:S:1:pos:R:3 pbc="T T T"
Sr 0.0000 3.0724 1.7271
Sr 2.6608 1.5362 5.1814
Nb 0.0000 3.0724 5.1814
Nb 2.6608 1.5362 1.7271
H 0.0000 0.0000 1.7271
H 0.0000 0.0000 5.1814
```

Summary:
Energy relative to the lowest polymorph listed for this composition (eV/f.u.): 5.44
DOS(E_F) (states/eV/atom): 0.84
Uncorrected energy (eV/atom): -3.29

=====

(7)
## SrNbH (GGA-PBE)

Data for a relaxed SrNbH crystal.

Structure (extended XYZ):
```
6
Lattice="2.5674 -2.5670 0.0000 2.5674 2.5670 0.0000 -0.0409 0.0000 9.7638" Properties=species:S:1:pos:R:3 pbc="T T T"
Sr 1.2622 0.0000 1.9336
Sr 3.8316 0.0000 7.8302
Nb 1.2634 0.0000 5.3640
Nb 3.8304 0.0000 4.3998
H 1.2642 0.0000 7.3595
H 3.8297 0.0000 2.4043
```

Summary:
Energy relative to the lowest polymorph listed for this composition (eV/f.u.): 0.00
DOS(E_F) (states/eV/atom): 0.31
Uncorrected energy (eV/atom): -5.10

=====

(8)
## Sr2ZrNbH (GGA-PBE)

Data for a relaxed Sr2ZrNbH crystal.

Structure (extended XYZ):
```
5
Lattice="6.3468 0.0000 0.0000 0.0000 6.3468 0.0000 0.0000 0.0000 3.5227" Properties=species:S:1:pos:R:3 pbc="T T T"
Sr 0.0000 3.1734 0.0000
Sr 3.1734 0.0000 0.0000
Zr 0.0000 0.0000 1.7613
Nb 3.1734 3.1734 0.0000
H 3.1734 3.1734 1.7613
```

Summary:
DOS(E_F) (states/eV/atom): 1.07
Uncorrected energy (eV/atom): -4.08

=====

(9)
## Ta2NbH2 (GGA-PBE)

Data for a relaxed Ta2NbH2 crystal.

Structure (extended XYZ):
```
10
Lattice="4.8646 0.0000 0.0000 -2.3437 5.1086 0.0000 -2.3914 -1.7146 4.8146" Properties=species:S:1:pos:R:3 pbc="T T T"
Ta -1.1288 0.6075 1.9591
Ta -1.1220 3.4542 1.1837
Ta 1.2514 -0.0602 3.6309
Ta 1.2582 2.7865 2.8555
Nb 1.1899 1.1120 0.4104
Nb -1.0606 2.2820 4.4042
H -2.3505 1.3264 3.3439
H -0.5766 -0.5906 3.3853
H 0.7060 3.9846 1.4293
H 2.4799 2.0676 1.4707
```

Summary:
Energy relative to the lowest polymorph listed for this composition (eV/f.u.): 0.00
DOS(E_F) (states/eV/atom): 0.43
Uncorrected energy (eV/atom): -8.26

=====

(10)
## TaNb2H8 (GGA-PBE)

Data for a relaxed TaNb2H8 crystal.

Structure (extended XYZ):
```
11
Lattice="5.2412 -2.2715 0.0000 5.2412 2.2715 0.0000 -1.0060 0.0000 3.0999" Properties=species:S:1:pos:R:3 pbc="T T T"
Ta 0.0000 0.0000 0.0000
Nb 3.1653 0.0000 1.0393
Nb 6.3110 0.0000 2.0606
H 2.6840 1.1103 2.5979
H 0.6777 0.0000 1.9273
H 4.7381 0.9560 1.5500
H 6.7923 1.1103 0.5020
H 2.6840 -1.1103 2.5979
H 4.7381 -0.9560 1.5500
H 8.7986 0.0000 1.1727
H 6.7923 -1.1103 0.5020
```

Summary:
DOS(E_F) (states/eV/atom): 0.24
Uncorrected energy (eV/atom): -5.35

=====

(11)
## Ta5NbH6 (GGA-PBE)

Data for a relaxed Ta5NbH6 crystal.

Structure (extended XYZ):
```
12
Lattice="2.4844 -4.7181 0.0000 2.4844 4.7181 0.0000 -1.3710 0.0000 5.1527" Properties=species:S:1:pos:R:3 pbc="T T T"
Ta 0.0000 0.0000 0.0000
Ta 1.7989 3.1467 2.5763
Ta 2.4844 1.5752 0.0000
Ta 2.4844 -1.5752 0.0000
Ta 1.7989 -3.1467 2.5763
Nb 1.7989 0.0000 2.5763
H 0.9032 1.5622 1.2903
H 0.2254 0.0000 3.8842
H 0.9032 -1.5622 1.2903
H 2.6947 1.5622 3.8624
H 3.3725 0.0000 1.2684
H 2.6947 -1.5622 3.8624
```

Summary:
DOS(E_F) (states/eV/atom): 0.32
Uncorrected energy (eV/atom): -7.54

=====

(12)
## TaNb2H2 (GGA-PBE)

Data for a relaxed TaNb2H2 crystal.

Structure (extended XYZ):
```
10
Lattice="4.8676 0.0000 0.0000 -2.3672 5.1213 0.0000 -2.3203 -1.7853 4.8267" Properties=species:S:1:pos:R:3 pbc="T T T"
Ta -1.0862 1.6657 1.2634
Ta 1.2663 1.6702 3.5633
Nb -1.1352 -0.0391 3.6003
Nb 1.2241 0.0106 1.1704
Nb -1.0441 3.3254 3.6563
Nb 1.3152 3.3751 1.2264
H -1.7351 3.4002 1.8580
H -2.2700 2.2844 4.7942
H 2.4501 1.0516 0.0325
H 1.9152 -0.0643 2.9687
```

Summary:
Energy relative to the lowest polymorph listed for this composition (eV/f.u.): 0.06
DOS(E_F) (states/eV/atom): 0.39
Uncorrected energy (eV/atom): -7.92

=====

(13)
## TaNb3H3 (GGA-PBE)

Data for a relaxed TaNb3H3 crystal.

Structure (extended XYZ):
```
14
Lattice="6.7646 0.0000 0.0000 -3.3823 5.8583 0.0000 0.0000 0.0000 4.2523" Properties=species:S:1:pos:R:3 pbc="T T T"
Ta 0.0000 3.9056 1.0631
Ta 3.3823 1.9528 3.1892
Nb 0.0000 2.0248 3.1892
Nb -1.6288 4.8459 3.1892
Nb 1.7535 1.0124 1.0631
Nb 1.6288 4.8459 3.1892
Nb 5.0111 1.0124 1.0631
Nb 3.3823 3.8336 1.0631
H 0.0000 1.9520 1.0631
H -1.6918 4.8823 1.0631
H 1.6905 0.9760 3.1892
H 1.6918 4.8823 1.0631
H 5.0741 0.9760 3.1892
H 3.3823 3.9063 3.1892
```

Summary:
DOS(E_F) (states/eV/atom): 0.51
Uncorrected energy (eV/atom): -7.32

=====

(14)
## TaNb2H4 (GGA-PBE)

Data for a relaxed TaNb2H4 crystal.

Structure (extended XYZ):
```
14
Lattice="4.0731 -4.0643 0.0000 4.0731 4.0643 0.0000 -4.0575 0.0000 4.0858" Properties=species:S:1:pos:R:3 pbc="T T T"
Ta 1.0299 3.0569 3.0643
Ta 3.0587 -3.0569 1.0214
Nb 2.0365 2.0322 0.0000
Nb 0.0078 -2.0322 2.0429
Nb 4.0731 0.0000 0.0000
Nb 2.0443 0.0000 2.0429
H 2.1118 1.9667 1.9688
H 2.1064 0.0659 0.0737
H 4.0056 1.9667 0.0741
H 0.0776 -0.0659 2.1166
H 4.0110 0.0659 1.9692
H 0.0830 -1.9667 4.0117
H 1.9822 -0.0659 4.0121
H 1.9768 -1.9667 2.1169
```

Summary:
Energy relative to the lowest polymorph listed for this composition (eV/f.u.): 0.00
DOS(E_F) (states/eV/atom): 0.48
Uncorrected energy (eV/atom): -6.58

=====

(15)
## Ta2NbH (GGA-PBE)

Data for a relaxed Ta2NbH crystal.

Structure (extended XYZ):
```
16
Lattice="4.7470 0.0000 0.0000 0.0000 4.7503 0.0000 0.0000 0.0000 10.2273" Properties=species:S:1:pos:R:3 pbc="T T T"
Ta 0.0400 1.1568 0.8289
Ta 0.0400 1.2184 4.2847
Ta 2.3335 3.5319 4.2847
Ta 2.3335 3.5936 0.8289
Ta 2.4134 1.1568 9.3983
Ta 2.4134 1.2184 5.9425
Ta 4.7070 3.5319 5.9425
Ta 4.7070 3.5936 9.3983
Nb 0.0588 3.5627 2.5568
Nb 2.3146 1.1876 2.5568
Nb 2.4323 3.5627 7.6704
Nb 4.6881 1.1876 7.6704
H 1.1867 0.0000 6.8104
H 1.1867 2.3752 8.5305
H 3.5602 0.0000 3.4168
H 3.5602 2.3752 1.6968
```

Summary:
Energy relative to the lowest polymorph listed for this composition (eV/f.u.): 0.04
DOS(E_F) (states/eV/atom): 0.89
Uncorrected energy (eV/atom): -9.39

=====

(16)
## TaNb3H7 (GGA-PBE)

Data for a relaxed TaNb3H7 crystal.

Structure (extended XYZ):
```
22
Lattice="4.4581 -3.2269 0.0000 4.4581 3.2269 0.0000 0.0000 0.0000 6.4305" Properties=species:S:1:pos:R:3 pbc="T T T"
Ta 0.0000 0.0000 0.0000
Ta 0.0000 0.0000 3.2153
Nb 2.2532 1.6044 4.8229
Nb 6.6629 1.6044 4.8229
Nb 4.4581 0.0000 0.0000
Nb 4.4581 0.0000 3.2153
Nb 2.2532 -1.6044 1.6076
Nb 6.6629 -1.6044 1.6076
H 3.3387 1.6508 0.0443
H 3.3387 1.6508 3.1710
H 4.4581 2.2245 4.8229
H 3.3227 0.0213 1.6076
H 5.5774 1.6508 0.0443
H 5.5774 1.6508 3.1710
H 3.3227 -0.0213 4.8229
H 5.5934 0.0213 1.6076
H 3.3387 -1.6508 3.2595
H 3.3387 -1.6508 6.3863
H 5.5934 -0.0213 4.8229
H 4.4581 -2.2245 1.6076
H 5.5774 -1.6508 3.2595
H 5.5774 -1.6508 6.3863
```

Summary:
DOS(E_F) (states/eV/atom): 0.38
Uncorrected energy (eV/atom): -6.13

=====

(17)
## Ta2NbH (GGA-PBE)

Data for a relaxed Ta2NbH crystal.

Structure (extended XYZ):
```
4
Lattice="1.4559 0.8406 8.1373 -1.4559 0.8406 8.1373 0.0000 -1.6812 8.1373" Properties=species:S:1:pos:R:3 pbc="T T T"
Ta 0.0000 0.0000 2.7125
Ta 0.0000 0.0000 21.6993
Nb 0.0000 0.0000 0.0000
H 0.0000 0.0000 12.2059
```

Summary:
Energy relative to the lowest polymorph listed for this composition (eV/f.u.): 1.83
DOS(E_F) (states/eV/atom): 0.74
Uncorrected energy (eV/atom): -8.94

=====

(18)
## TaNb2H3 (GGA-PBE)

Data for a relaxed TaNb2H3 crystal.

Structure (extended XYZ):
```
12
Lattice="4.2833 -2.7895 0.0000 4.2833 2.7895 0.0000 0.0000 0.0000 5.4541" Properties=species:S:1:pos:R:3 pbc="T T T"
Ta 4.2833 1.9613 2.7271
Ta 4.2833 -1.9613 0.0000
Nb 2.8685 0.8309 0.0056
Nb 2.8685 -0.8309 2.7327
Nb 5.6981 0.8309 0.0056
Nb 5.6981 -0.8309 2.7327
H 4.2833 1.8836 4.6262
H 2.8556 0.9321 1.9211
H 2.8556 -0.9321 4.6482
H 5.7109 0.9321 1.9211
H 5.7109 -0.9321 4.6482
H 4.2833 -1.8836 1.8992
```

Summary:
Energy relative to the lowest polymorph listed for this composition (eV/f.u.): 0.97
DOS(E_F) (states/eV/atom): 0.34
Uncorrected energy (eV/atom): -7.06

=====

(19)
## Ta2Nb2H (GGA-PBE)

Data for a relaxed Ta2Nb2H crystal.

Structure (extended XYZ):
```
10
Lattice="5.5265 0.0000 0.0000 0.0000 5.5265 0.0000 0.0000 0.0000 5.3184" Properties=species:S:1:pos:R:3 pbc="T T T"
Ta 0.8978 1.8654 0.0000
Ta 1.8654 4.6287 0.0000
Ta 3.6611 0.8978 0.0000
Ta 4.6287 3.6611 0.0000
Nb 0.9073 3.6705 2.6592
Nb 1.8560 0.9073 2.6592
Nb 3.6705 4.6193 2.6592
Nb 4.6193 1.8560 2.6592
H 0.0000 0.0000 0.0000
H 2.7633 2.7633 0.0000
```

Summary:
Energy relative to the lowest polymorph listed for this composition (eV/f.u.): 0.00
DOS(E_F) (states/eV/atom): 0.78
Uncorrected energy (eV/atom): -8.99

=====

(20)
## Ta3Nb3H8 (GGA-PBE)

Data for a relaxed Ta3Nb3H8 crystal.

Structure (extended XYZ):
```
14
Lattice="2.8816 1.6637 4.7130 -2.8816 1.6637 4.7130 0.0000 -3.3274 4.7130" Properties=species:S:1:pos:R:3 pbc="T T T"
Ta -1.4408 -0.8318 4.7130
Ta -1.4408 0.8318 9.4260
Ta 0.0000 1.6637 4.7130
Nb 0.0000 0.0000 1.7494
Nb 0.0000 0.0000 7.0695
Nb 0.0000 0.0000 12.3895
H 0.0000 0.0000 3.6651
H 0.0000 -1.5334 5.8374
H -1.3279 0.7667 5.8374
H -1.3279 -0.7667 8.3015
H 1.3279 0.7667 5.8374
H 1.3279 -0.7667 8.3015
H 0.0000 1.5334 8.3015
H 0.0000 0.0000 10.4739
```

Summary:
DOS(E_F) (states/eV/atom): 0.47
Uncorrected energy (eV/atom): -6.72